[1]
{
  "formula": "ZnRhSe2Br",
  "functional": "PBE",
  "state": "optimized geometry",
  "e_form_raw_ev_per_atom": 0.7270,
  "n_ef_per_ev_fu": 5.952,
  "polymorph_energy_ev_per_fu": 2.25,
  "lattice_angstrom": [[-4.441, 0.073, -1.928], [0.410, -4.692, -1.122], [-2.026, -1.282, 4.618]],
  "species": ["Br", "Zn", "Se", "Se", "Rh"],
  "frac_coords": [[0.000, 0.000, 0.500], [0.000, 0.000, 0.000], [0.500, 0.000, 0.000], [0.000, 0.500, 0.000], [0.500, 0.500, 0.500]]
}

=====

[2]
{
  "formula": "NaHfRhC2",
  "functional": "PBE",
  "state": "optimized geometry",
  "formation_energy_mev_per_atom": 2371,
  "n_ef_per_ev_fu": 3.603,
  "lattice_angstrom": [[4.099, 0.000, 0.000], [0.000, 4.099, 0.000], [0.000, 0.000, 4.402]],
  "species": ["Rh", "C", "C", "Hf", "Na"],
  "frac_coords": [[0.000, 0.000, 0.500], [0.000, 0.500, 0.000], [0.500, 0.000, 0.000], [0.500, 0.500, 0.500], [0.000, 0.000, 0.000]]
}

=====

[3]
{
  "formula": "Cs2In4Hg3Sb",
  "functional": "PBE",
  "state": "optimized geometry",
  "e_form_raw_ev_per_atom": -0.1665,
  "n_ef_per_ev_fu": 5.253,
  "lattice_angstrom": [[-2.025, -4.572, -1.431], [2.874, -2.402, 3.609], [-9.285, 1.489, 8.386]],
  "species": ["Hg", "Sb", "In", "Hg", "Cs", "In", "In", "In", "Cs", "Hg"],
  "frac_coords": [[0.000, 0.500, 0.125], [0.500, 0.500, 0.500], [0.000, 0.000, 0.000], [0.000, 0.000, 0.500], [0.500, 0.000, 0.252], [0.500, 0.000, 0.631], [0.000, 0.500, 0.369], [0.500, 0.500, 0.000], [0.000, 0.500, 0.748], [0.500, 0.000, 0.875]]
}

=====

[4]
{
  "formula": "SmCrPd4",
  "functional": "PBE",
  "state": "optimized geometry",
  "formation_energy_mev_per_atom": -362,
  "n_ef_per_ev_fu": 4.666,
  "lattice_angstrom": [[-0.503, -5.108, 1.557], [1.239, -3.970, -3.387], [4.372, -2.987, 0.854]],
  "species": ["Cr", "Pd", "Pd", "Pd", "Sm", "Pd"],
  "frac_coords": [[0.000, 0.000, 0.000], [0.626, 0.626, 0.123], [0.123, 0.626, 0.626], [0.626, 0.626, 0.626], [0.250, 0.250, 0.250], [0.626, 0.123, 0.626]]
}

=====

[5]
{
  "formula": "Nd2HoMnS5",
  "functional": "PBE",
  "state": "optimized geometry",
  "e_form_raw_ev_per_atom": -1.7227,
  "n_ef_per_ev_fu": 2.817,
  "lattice_angstrom": [[-3.691, -1.291, -0.329], [4.342, -6.996, 2.157], [-1.876, 2.408, 11.586]],
  "species": ["S", "S", "Ho", "S", "S", "Mn", "S", "S", "Nd", "Mn", "S", "Nd", "S", "S", "Ho", "Nd", "Nd", "S"],
  "frac_coords": [[0.493, 0.987, 0.754], [0.982, 0.963, 0.523], [0.815, 0.630, 0.524], [0.653, 0.306, 0.516], [0.699, 0.399, 0.183], [0.551, 0.101, 0.928], [0.018, 0.037, 0.023], [0.507, 0.013, 0.254], [0.878, 0.755, 0.842], [0.449, 0.899, 0.428], [0.688, 0.377, 0.861], [0.882, 0.763, 0.192], [0.347, 0.694, 0.016], [0.312, 0.623, 0.361], [0.185, 0.370, 0.024], [0.122, 0.245, 0.342], [0.118, 0.237, 0.692], [0.301, 0.601, 0.683]]
}

=====

[6]
{
  "formula": "Pr4Ni3Pd",
  "functional": "PBE",
  "state": "optimized geometry",
  "formation_energy_mev_per_atom": -407,
  "n_ef_per_ev_fu": 4.921,
  "lattice_angstrom": [[3.886, 0.000, 0.000], [0.000, 4.465, 0.000], [0.000, 0.000, 10.704]],
  "species": ["Pr", "Pd", "Ni", "Ni", "Ni", "Pr", "Pr", "Pr"],
  "frac_coords": [[0.000, 0.000, 0.139], [0.500, 0.500, 0.077], [0.000, 0.000, 0.430], [0.000, 0.500, 0.572], [0.500, 0.000, 0.919], [0.500, 0.000, 0.637], [0.500, 0.500, 0.370], [0.000, 0.500, 0.856]]
}